Entry 1:
# PmMg4Zn4, optimized geometry, DFT PBE
data_PmMg4Zn4
_chemical_formula_sum 'Pm2 Mg8 Zn8'
_cell_length_a 6.4329
_cell_length_b 6.4329
_cell_length_c 9.1954
_cell_angle_alpha 90.00
_cell_angle_beta 90.00
_cell_angle_gamma 90.00
_space_group_name_H-M_alt 'P 42/n m c'
_space_group_IT_number 137
loop_
_space_group_symop_operation_xyz
'x,y,z'
'-x,-y,-z'
'-y+1/2,x,z+1/2'
'y+1/2,-x,-z+1/2'
'-x+1/2,-y+1/2,z'
'x+1/2,y+1/2,-z'
'y,-x+1/2,z+1/2'
'-y,x+1/2,-z+1/2'
'x+1/2,-y,-z'
'-x+1/2,y,z'
'-y,-x,-z+1/2'
'y,x,z+1/2'
'-x,y+1/2,-z'
'x,-y+1/2,z'
'y+1/2,x+1/2,-z+1/2'
'-y+1/2,-x+1/2,z+1/2'
loop_
_atom_site_label
_atom_site_fract_x
_atom_site_fract_y
_atom_site_fract_z
Pm1 0.2500 0.7500 0.2500
Mg1 0.0147 0.2500 0.1502
Zn1 0.0485 0.2500 0.4488
# - electronic total energy (eV per cell) = -33.8
# - formation energy from the elements (eV/atom) = -0.075


Entry 2:
# CdSiW2, optimized geometry, DFT PBE
data_CdSiW2
_chemical_formula_sum 'Cd1 Si1 W2'
_cell_length_a 2.8414
_cell_length_b 4.5258
_cell_length_c 5.3114
_cell_angle_alpha 90.00
_cell_angle_beta 101.05
_cell_angle_gamma 90.00
_space_group_name_H-M_alt 'P 1 m 1'
_space_group_IT_number 6
_space_group_name_Hall 'P -2y'
loop_
_atom_site_label
_atom_site_fract_x
_atom_site_fract_y
_atom_site_fract_z
Cd1 0.0000 0.0000 0.0000
Si1 0.6436 0.5000 0.2470
W1 0.3852 0.5000 0.7060
W2 0.6130 0.0000 0.4859
# - formation energy from raw total energies (eV/atom) = 0.472
# - energy above the most stable polymorph in this dataset (meV per atom) = 113
# - electronic total energy (eV per cell) = -30.4